Below is PmSmTmSc after structural relaxation, with properties calculated at the PBE level.

Cell lengths 5.5767, 5.5767, 5.5767 Å; angles 60.00, 60.00, 60.00 degrees
Closest atoms and distances in Å follow each position.
Atoms (fractional coordinates):
Pm: 0.5000 0.5000 0.5000  4 Sc 3.42, 4 Tm 3.42
Sm: 0.0000 0.0000 0.0000  4 Tm 3.42, 4 Sc 3.42
Tm: 0.2500 0.2500 0.2500  4 Pm 3.42, 4 Sm 3.42
Sc: 0.7500 0.7500 0.7500  4 Sm 3.42, 4 Pm 3.42

## Properties
Crystal system: cubic
Calculated total energy in eV/atom: -4.97
Space group: F-43m, No. 216
E_form in meV/atom: 95